Record 1
YMo2OsPd, optimized geometry, DFT PBE; crystal system = tetragonal; space group = P4/mmm, No. 123; energy of formation from the pure elements = 0.8853 eV per atom; DFT total energy = -40.123 eV for the cell shown
1.0
4.7137 0.0000 0.0000
0.0000 4.7137 0.0000
0.0000 0.0000 5.0157
Y Mo Os Pd
1 2 1 1
direct
0.0000 0.0000 0.0000 Y
0.0000 0.5000 0.5000 Mo
0.5000 0.0000 0.5000 Mo
0.5000 0.5000 0.5000 Os
0.5000 0.5000 0.0000 Pd


Record 2
Pm2MoOs3, optimized geometry, DFT PBE; crystal system = trigonal; space group = R-3m, No. 166; energy of formation from the pure elements = -0.1037 eV per atom; DFT total energy = -54.644 eV for the cell shown
1.0
2.8206 1.6285 4.1788
-2.8206 1.6285 4.1788
0.0000 -3.2569 4.1788
Pm Mo Os
2 1 3
direct
0.1243 0.1243 0.1243 Pm
0.8757 0.8757 0.8757 Pm
0.5000 0.5000 0.5000 Mo
0.0000 0.5000 0.5000 Os
0.5000 0.0000 0.5000 Os
0.5000 0.5000 0.0000 Os


Record 3
PmMoOs, optimized geometry, DFT PBE; crystal system = orthorhombic; space group = Imma, No. 74; energy of formation from the pure elements = -0.0323 eV per atom; DFT total energy = -107.634 eV for the cell shown; relative energy among the computed polymorphs = 0.0 meV/atom
1.0
5.3444 0.0000 0.0000
0.0000 5.8430 0.0000
0.0000 0.0000 7.5308
Pm Mo Os
4 4 4
direct
0.0000 0.2500 0.1302 Pm
0.0000 0.7500 0.8698 Pm
0.5000 0.2500 0.3698 Pm
0.5000 0.7500 0.6302 Pm
0.2500 0.2500 0.7500 Mo
0.2500 0.7500 0.2500 Mo
0.7500 0.2500 0.7500 Mo
0.7500 0.7500 0.2500 Mo
0.0000 0.0000 0.5000 Os
0.0000 0.5000 0.5000 Os
0.5000 0.0000 0.0000 Os
0.5000 0.5000 0.0000 Os


Record 4
PmMoOs, optimized geometry, DFT PBE; crystal system = monoclinic; space group = C2/m, No. 12; energy of formation from the pure elements = 0.2051 eV per atom; DFT total energy = -104.785 eV for the cell shown; relative energy among the computed polymorphs = 237.4 meV/atom
1.0
7.3893 0.0000 0.0000
0.0000 4.2844 0.0000
-2.4503 0.0000 9.1894
Pm Mo Os
4 4 4
direct
0.1168 0.0000 0.3497 Pm
0.3832 0.5000 0.6503 Pm
0.6168 0.5000 0.3497 Pm
0.8832 0.0000 0.6503 Pm
0.1316 0.5000 0.8937 Mo
0.3684 0.0000 0.1063 Mo
0.6316 0.0000 0.8937 Mo
0.8684 0.5000 0.1063 Mo
0.2230 0.5000 0.1684 Os
0.2770 0.0000 0.8316 Os
0.7230 0.0000 0.1684 Os
0.7770 0.5000 0.8316 Os


Record 5
PrMoOs, optimized geometry, DFT PBE; crystal system = monoclinic; space group = P2_1/m, No. 11; energy of formation from the pure elements = 0.1545 eV per atom; DFT total energy = -52.754 eV for the cell shown
1.0
5.3496 0.0000 0.0000
0.0000 4.3748 0.0000
-1.3214 0.0000 5.6429
Pr Mo Os
2 2 2
direct
0.2425 0.2500 0.4342 Pr
0.7575 0.7500 0.5658 Pr
0.3543 0.7500 0.9561 Mo
0.6457 0.2500 0.0439 Mo
0.0954 0.2500 0.9024 Os
0.9046 0.7500 0.0976 Os


Record 6
PrSi2MoOs, optimized geometry, DFT PBE; crystal system = tetragonal; space group = I-4m2, No. 119; DFT total energy = -80.393 eV for the cell shown; uncorrected formation energy = -0.502 eV per atom
1.0
4.1578 0.0000 0.0000
0.0000 4.1578 0.0000
0.0000 0.0000 10.5294
Pr Si Mo Os
2 4 2 2
direct
0.0000 0.0000 0.0000 Pr
0.5000 0.5000 0.5000 Pr
0.0000 0.0000 0.3776 Si
0.0000 0.0000 0.6224 Si
0.5000 0.5000 0.1224 Si
0.5000 0.5000 0.8776 Si
0.0000 0.5000 0.2500 Mo
0.5000 0.0000 0.7500 Mo
0.0000 0.5000 0.7500 Os
0.5000 0.0000 0.2500 Os


Record 7
MoOs2Pt, optimized geometry, DFT PBE; crystal system = tetragonal; space group = I4/mmm, No. 139; energy of formation from the pure elements = 0.0004 eV per atom; DFT total energy = -78.659 eV for the cell shown; relative energy among the computed polymorphs = 65.0 meV/atom
1.0
3.9355 0.0000 0.0000
0.0000 3.9355 0.0000
0.0000 0.0000 7.7002
Mo Os Pt
2 4 2
direct
0.0000 0.0000 0.0000 Mo
0.5000 0.5000 0.5000 Mo
0.0000 0.5000 0.2500 Os
0.0000 0.5000 0.7500 Os
0.5000 0.0000 0.2500 Os
0.5000 0.0000 0.7500 Os
0.0000 0.0000 0.5000 Pt
0.5000 0.5000 0.0000 Pt


Record 8
MoOs2Pt, optimized geometry, DFT PBE; crystal system = monoclinic; space group = C2/m, No. 12; energy of formation from the pure elements = 0.0209 eV per atom; DFT total energy = -78.496 eV for the cell shown; relative energy among the computed polymorphs = 85.4 meV/atom
1.0
9.1735 0.0000 0.0000
0.0000 2.7549 0.0000
-0.8594 0.0000 4.7392
Mo Os Pt
2 4 2
direct
0.0000 0.0000 0.0000 Mo
0.5000 0.5000 0.0000 Mo
0.2444 0.5000 0.2378 Os
0.2556 0.0000 0.7622 Os
0.7444 0.0000 0.2378 Os
0.7556 0.5000 0.7622 Os
0.0000 0.5000 0.5000 Pt
0.5000 0.0000 0.5000 Pt


Record 9
MoOs2Pt, optimized geometry, DFT PBE; crystal system = monoclinic; space group = P2/m, No. 10; energy of formation from the pure elements = 0.3034 eV per atom; DFT total energy = -38.118 eV for the cell shown; relative energy among the computed polymorphs = 367.9 meV/atom
1.0
2.7141 0.0000 0.0000
0.0000 4.6436 0.0000
-0.2191 0.0000 4.8490
Mo Os Pt
1 2 1
direct
0.0000 0.0000 0.0000 Mo
0.3097 0.5000 0.7461 Os
0.6903 0.5000 0.2539 Os
0.5000 0.0000 0.5000 Pt


Record 10
MoOs2Pt, optimized geometry, DFT PBE; crystal system = cubic; space group = Fm-3m, No. 225; energy of formation from the pure elements = 0.3809 eV per atom; DFT total energy = -151.232 eV for the cell shown; relative energy among the computed polymorphs = 445.4 meV/atom
1.0
6.2481 0.0000 0.0000
0.0000 6.2481 0.0000
0.0000 0.0000 6.2481
Mo Os Pt
4 8 4
direct
0.0000 0.0000 0.0000 Mo
0.0000 0.5000 0.5000 Mo
0.5000 0.0000 0.5000 Mo
0.5000 0.5000 0.0000 Mo
0.2500 0.2500 0.2500 Os
0.2500 0.2500 0.7500 Os
0.2500 0.7500 0.2500 Os
0.2500 0.7500 0.7500 Os
0.7500 0.2500 0.2500 Os
0.7500 0.2500 0.7500 Os
0.7500 0.7500 0.2500 Os
0.7500 0.7500 0.7500 Os
0.0000 0.0000 0.5000 Pt
0.0000 0.5000 0.0000 Pt
0.5000 0.0000 0.0000 Pt
0.5000 0.5000 0.5000 Pt


Record 11
MoOsPt2, optimized geometry, DFT PBE; crystal system = tetragonal; space group = I-42d, No. 122; energy of formation from the pure elements = 1.0423 eV per atom; DFT total energy = -119.893 eV for the cell shown; relative energy among the computed polymorphs = 1156.5 meV/atom
1.0
5.6572 0.0000 0.0000
0.0000 5.6572 0.0000
0.0000 0.0000 11.2990
Mo Os Pt
4 4 8
direct
0.0000 0.0000 0.0000 Mo
0.0000 0.5000 0.2500 Mo
0.5000 0.0000 0.7500 Mo
0.5000 0.5000 0.5000 Mo
0.0000 0.0000 0.5000 Os
0.0000 0.5000 0.7500 Os
0.5000 0.0000 0.2500 Os
0.5000 0.5000 0.0000 Os
0.2442 0.2500 0.6250 Pt
0.2500 0.7442 0.8750 Pt
0.2500 0.7558 0.3750 Pt
0.2558 0.2500 0.1250 Pt
0.7442 0.7500 0.1250 Pt
0.7500 0.2442 0.3750 Pt
0.7500 0.2558 0.8750 Pt
0.7558 0.7500 0.6250 Pt


Record 12
MoOs2Pt, optimized geometry, DFT PBE; crystal system = orthorhombic; space group = Cmmm, No. 65; energy of formation from the pure elements = 0.0895 eV per atom; DFT total energy = -77.947 eV for the cell shown; relative energy among the computed polymorphs = 154.0 meV/atom
1.0
5.5502 0.0000 0.0000
0.0000 7.7399 0.0000
0.0000 0.0000 2.7815
Mo Os Pt
2 4 2
direct
0.0000 0.0000 0.0000 Mo
0.5000 0.5000 0.0000 Mo
0.2500 0.2500 0.5000 Os
0.2500 0.7500 0.5000 Os
0.7500 0.2500 0.5000 Os
0.7500 0.7500 0.5000 Os
0.0000 0.5000 0.0000 Pt
0.5000 0.0000 0.0000 Pt